No. 1
The following is a GGA-PBE calculation of a geometry-optimized YNbZn2H structure, from Alexandria.

abc: 5.080 5.368 5.080
angles: 90.00 90.00 90.00
Atoms (fractional coordinates):
Y (0.000, 0.500, 0.000)
H (0.500, 0.500, 0.500)
Nb (0.000, 0.000, 0.000)
Zn (0.000, 0.000, 0.500)
Zn (0.500, 0.000, 0.000)

## Properties
V in Å³/atom: 27.70
Crystal system: tetragonal
Total DFT energy (no corrections) in eV for the cell shown: -16.4
Space-group type: P4/mmm, No. 123



No. 2
The following is a GGA-PBE calculation of a geometry-optimized YZrNbH2 structure, from Alexandria.

abc: 3.912 6.759 3.912
angles: 90.00 90.00 90.00
Atoms (fractional coordinates):
Y (0.000, 0.000, 0.000)
H (0.000, 0.000, 0.500)
H (0.500, 0.000, 0.000)
Nb (0.500, 0.500, 0.500)
Zr (0.000, 0.500, 0.000)

## Properties
V in Å³/atom: 20.68
Crystal system: tetragonal
Total DFT energy (no corrections) in eV for the cell shown: -28.4
Space-group type: P4/mmm, No. 123



No. 3
The following is a GGA-PBE calculation of a geometry-optimized Nb2ZnH structure, from Alexandria.

abc: 2.930 2.930 7.570
angles: 78.84 78.84 60.00
Atoms (fractional coordinates):
Nb (0.061, 0.061, 0.818)
Nb (0.272, 0.272, 0.184)
Zn (0.499, 0.499, 0.502)
H (0.668, 0.668, 0.997)

## Properties
V in Å³/atom: 13.72
Crystal system: trigonal
Total DFT energy (no corrections) in eV for the cell shown: -24.8
Space-group type: R3m, No. 160



No. 4
The following is a GGA-PBE calculation of a geometry-optimized Nb3ZnH3 structure, from Alexandria.

abc: 5.418 5.418 5.418
angles: 90.00 90.00 90.00
Atoms (fractional coordinates):
H (0.250, 0.000, 0.500)
H (0.000, 0.500, 0.250)
H (0.500, 0.750, 0.000)
H (0.750, 0.000, 0.500)
H (0.000, 0.500, 0.750)
H (0.500, 0.250, 0.000)
Nb (0.000, 0.250, 0.500)
Nb (0.000, 0.750, 0.500)
Nb (0.500, 0.000, 0.750)
Nb (0.750, 0.500, 0.000)
Nb (0.500, 0.000, 0.250)
Nb (0.250, 0.500, 0.000)
Zn (0.500, 0.500, 0.500)
Zn (0.000, 0.000, 0.000)

## Properties
V in Å³/atom: 11.36
Crystal system: cubic
Total DFT energy (no corrections) in eV for the cell shown: -85.4
Space-group type: Pm-3n, No. 223



No. 5
The following is a GGA-PBE calculation of a geometry-optimized NbZnH structure, from Alexandria.

abc: 5.432 5.499 3.032
angles: 74.59 56.00 81.51
Atoms (fractional coordinates):
H (0.461, 0.852, 0.697)
H (0.961, 0.632, 0.820)
Zn (0.253, 0.364, 0.659)
Zn (0.753, 0.119, 0.277)
Nb (0.218, 0.910, 0.411)
Nb (0.718, 0.574, 0.593)

## Properties
V in Å³/atom: 12.06
Crystal system: monoclinic
Total DFT energy (no corrections) in eV for the cell shown: -29.9
Space-group type: P2_1, No. 4



No. 6
The following is a GGA-PBE calculation of a geometry-optimized Nb2ZnH structure, from Alexandria.

abc: 5.035 5.186 5.603
angles: 62.43 75.70 57.74
Atoms (fractional coordinates):
Nb (0.420, 0.803, 0.240)
Nb (0.080, 0.457, 0.240)
Nb (0.580, 0.197, 0.760)
Nb (0.920, 0.543, 0.760)
Zn (0.750, 0.129, 0.243)
Zn (0.250, 0.871, 0.757)
H (0.750, 0.494, 0.511)
H (0.250, 0.506, 0.489)

## Properties
V in Å³/atom: 13.71
Crystal system: monoclinic
Total DFT energy (no corrections) in eV for the cell shown: -50.1
Space-group type: C2/c, No. 15



No. 7
The following is a GGA-PBE calculation of a geometry-optimized NbZnH structure, from Alexandria.

abc: 6.265 4.969 4.709
angles: 90.00 90.00 90.00
Atoms (fractional coordinates):
H (0.690, 0.250, 0.954)
H (0.810, 0.750, 0.454)
H (0.310, 0.750, 0.046)
H (0.190, 0.250, 0.546)
Nb (0.382, 0.250, 0.995)
Nb (0.118, 0.750, 0.495)
Nb (0.618, 0.750, 0.005)
Nb (0.882, 0.250, 0.505)
Zn (0.000, 0.000, 0.000)
Zn (0.500, 0.500, 0.500)
Zn (0.500, 0.000, 0.500)
Zn (0.000, 0.500, 0.000)

## Properties
V in Å³/atom: 12.22
Crystal system: orthorhombic
Total DFT energy (no corrections) in eV for the cell shown: -55.9
Space-group type: Pnma, No. 62



No. 8
The following is a GGA-PBE calculation of a geometry-optimized NbZnH2 structure, from Alexandria.

abc: 4.259 4.259 5.439
angles: 66.95 66.95 90.00
Atoms (fractional coordinates):
H (0.629, 0.125, 0.250)
H (0.121, 0.625, 0.250)
H (0.375, 0.371, 0.750)
H (0.875, 0.879, 0.750)
Nb (0.000, 0.000, 0.000)
Nb (0.750, 0.250, 0.500)
Zn (0.500, 0.500, 0.000)
Zn (0.250, 0.750, 0.500)

## Properties
V in Å³/atom: 10.27
Crystal system: tetragonal
Total DFT energy (no corrections) in eV for the cell shown: -35.0
Space-group type: I-42d, No. 122